The following is a PBE-GGA calculation of a geometry-optimized Y4TaMn structure, from the Alexandria database.

a b c (Å): 6.1429 6.1429 6.1429
angles (deg): 60.00 60.00 60.00
Closest atoms and distances in Å follow each position.
Element x y z (fractional)
Y (0.8775, 0.3742, 0.3742)  6 Y 3.05-3.09
Y (0.3742, 0.3742, 0.8775)  6 Y 3.05-3.09
Y (0.3742, 0.8775, 0.3742)  6 Y 3.05-3.09
Y (0.3742, 0.3742, 0.3742)  6 Y 3.05-3.09
Ta (0.0000, 0.0000, 0.0000)  12 Y 3.60, 4 Mn 3.76
Mn (0.7500, 0.7500, 0.7500)  12 Y 3.60, 4 Ta 3.76

Calculated volume in Å³ per cell: 164
Space group: No. 216
Mass density in g/cm3: 5.99
DFT formation energy in eV/atom: 0.95
Total energy in eV/atom: -6.8638